Entry 1:
# Ag5Pt3 | Alexandria via LeMat-Bulk | meta-GGA SCAN | PBEsol geometry
# E_form = 0.00 eV per atom
# offset from the most stable computed form = 22 meV per atom
# final energy = -45.92 eV per atom
data_Ag5Pt3
_space_group_name_H-M_alt 'P 1'
_space_group_IT_number 1
_space_group_name_Hall 'P 1'
_cell_length_a 4.849
_cell_length_b 4.849
_cell_length_c 9.909
_cell_angle_alpha 99.09
_cell_angle_beta 99.09
_cell_angle_gamma 33.41
loop_
_atom_site_label
_atom_site_fract_x
_atom_site_fract_y
_atom_site_fract_z
Ag1 0.000 0.000 0.000
Ag2 0.246 0.246 0.871
Ag3 0.493 0.493 0.747
Ag4 0.507 0.507 0.253
Ag5 0.754 0.754 0.129
Pt1 0.000 0.000 0.500
Pt2 0.257 0.257 0.382
Pt3 0.743 0.743 0.618



Entry 2:
# Ba3HfTi | Alexandria via LeMat-Bulk | meta-GGA SCAN | PBEsol geometry
# E_form = 1.25 eV per atom
# offset from the most stable computed form = 0 meV per atom
# final energy = -38.22 eV per atom
data_Ba3HfTi
_space_group_name_H-M_alt 'P 1'
_space_group_IT_number 1
_space_group_name_Hall 'P 1'
_cell_length_a 6.127
_cell_length_b 6.127
_cell_length_c 6.127
_cell_angle_alpha 90.00
_cell_angle_beta 90.00
_cell_angle_gamma 90.00
loop_
_atom_site_label
_atom_site_fract_x
_atom_site_fract_y
_atom_site_fract_z
Ba1 0.000 0.000 0.500
Ba2 0.000 0.500 0.000
Ba3 0.500 0.000 0.000
Hf1 0.000 0.000 0.000
Ti1 0.500 0.500 0.500



Total magnetization, record by record: 0.019; 1.348 μB per formula unit
Calculated volume, record by record: 15.8; 46.0 Å³ per atom